Entry 1:
Compound: YCuNiGe2
Source: the Alexandria database
Functional: PBE
Structure: relaxed

POSCAR file:
```
YCuNiGe2
1.0
-2.9908 4.1964 -1.5806
-2.9285 -0.7172 3.6370
2.9907 3.2823 3.0554
Y Ni Ge Cu
1 1 2 1
Direct
0.0000 0.0000 0.0000 Y
0.0000 0.5000 0.0000 Ni
0.0000 0.0000 0.5000 Ge
0.5000 0.0000 0.0000 Ge
0.5000 0.5000 0.5000 Cu
```

Computed properties:
ΔE to the lowest computed polymorph ... 1.837 eV per atom
DFT formation energy ... 1.2431 eV/atom

Entry 2:
Compound: HfCuN3
Source: the Alexandria database
Functional: PBE
Structure: relaxed

POSCAR file:
```
HfCuN3
1.0
4.1388 0.0000 0.0000
0.0000 4.1388 0.0000
0.0000 0.0000 4.1388
Hf Cu N
1 1 3
Direct
0.0000 0.0000 0.0000 Hf
0.5000 0.5000 0.5000 Cu
0.0000 0.5000 0.0000 N
0.0000 0.0000 0.5000 N
0.5000 0.0000 0.0000 N
```

Computed properties:
ΔE_f (raw) ... 1.02 eV per atom

Entry 3:
Compound: AsRhSCl2
Source: the Alexandria database
Functional: PBE
Structure: relaxed

POSCAR file:
```
AsRhSCl2
1.0
4.8999 0.0000 0.0000
0.0000 4.8999 0.0000
0.0000 0.0000 4.9368
As Rh S Cl
1 1 1 2
Direct
0.0000 0.0000 0.0000 As
0.5000 0.5000 0.5000 Rh
0.0000 0.0000 0.5000 S
0.0000 0.5000 0.0000 Cl
0.5000 0.0000 0.0000 Cl
```

Computed properties:
ΔE to the lowest computed polymorph ... 0.275 eV per atom
ΔE_f (raw) ... 0.59 eV per atom

Entry 4:
Compound: TmSe2O8
Source: the Alexandria database
Functional: PBE
Structure: relaxed

POSCAR file:
```
TmSe2O8
1.0
5.2406 -0.0138 -1.3670
-0.8081 5.4792 -3.1529
0.2712 0.0966 6.5394
Tm Se O
1 2 8
Direct
0.0000 0.0000 0.0000 Tm
0.3196 0.8191 0.6382 Se
0.6804 0.1809 0.3618 Se
0.7970 0.9125 0.2309 O
0.2030 0.6816 0.7691 O
0.6394 0.8604 0.7208 O
0.3606 0.1396 0.2792 O
0.7970 0.3184 0.2309 O
0.2030 0.0875 0.7691 O
0.2388 0.6702 0.3404 O
0.7612 0.3298 0.6596 O
```

Computed properties:
ΔE_f (raw) ... -1.08 eV per atom

Entry 5:
Compound: HfMgTc2
Source: the Alexandria database
Functional: PBE
Structure: relaxed

POSCAR file:
```
HfMgTc2
1.0
-5.3034 -4.8226 -0.6156
4.8546 -5.3024 -0.2828
-0.3261 -5.3027 2.3079
Mg Hf Tc
2 2 4
Direct
0.5000 0.5000 0.0000 Mg
0.2500 0.7500 0.5000 Mg
0.0000 0.0000 0.0000 Hf
0.7500 0.2500 0.5000 Hf
0.6218 0.1250 0.2500 Tc
0.1282 0.6250 0.2500 Tc
0.3750 0.3782 0.7500 Tc
0.8750 0.8718 0.7500 Tc
```

Computed properties:
DFT formation energy ... 0.6531 eV/atom

Entry 6:
Compound: NaEuTiBiO6
Source: the Alexandria database
Functional: PBE
Structure: relaxed

POSCAR file:
```
NaEuTiBiO6
1.0
-0.0407 -5.7456 0.4086
-3.6597 -2.6051 3.6056
-4.4499 -3.0044 -2.0862
Na Eu Ti Bi O
1 1 1 1 6
Direct
0.7500 0.7500 0.7500 Na
0.2500 0.2500 0.2500 Eu
0.5000 0.5000 0.5000 Ti
0.0000 0.0000 0.0000 Bi
0.2601 0.7399 0.2601 O
0.7399 0.2601 0.7399 O
0.2601 0.7399 0.7399 O
0.7399 0.2601 0.2601 O
0.2601 0.2601 0.7399 O
0.7399 0.7399 0.2601 O
```

Computed properties:
ΔE_f (raw) ... -2.04 eV per atom

Magnetic moment, record by record: 0.000 0.000 0.400 0.101 0.000 0.672 μB/atom